! BeCdMo | Alexandria | PBE | relaxed; values from VASP
&SYSTEM
  ibrav = 0, nat = 3, ntyp = 3
/
ATOMIC_SPECIES
Be 9.01 Be.upf
Mo 95.94 Mo.upf
Cd 112.41 Cd.upf
CELL_PARAMETERS angstrom
-5.0907 -0.4312 2.3862
-4.2889 -3.6591 -0.1086
5.4551 1.2783 0.6354
ATOMIC_POSITIONS crystal
Be 0.9889 0.9889 0.0000
Mo 0.3588 0.3588 0.0000
Cd 0.6523 0.6523 0.0000
! M_tot = 0.000 μB/cell
! ΔE to the lowest computed polymorph = 13 meV per atom
! ΔE_f = 36.0 kJ/mol of atoms
! symmetry = No. 44
! total DFT energy (no corrections) = -0.352 Ry/atom



! BeCd3Mo | Alexandria | PBE | relaxed; values from VASP
&SYSTEM
  ibrav = 0, nat = 5, ntyp = 3
/
ATOMIC_SPECIES
Be 9.01 Be.upf
Mo 95.94 Mo.upf
Cd 112.41 Cd.upf
CELL_PARAMETERS angstrom
4.6018 0.0000 0.0000
0.0000 4.6018 0.0000
0.0000 0.0000 4.6018
ATOMIC_POSITIONS crystal
Be 0.0000 0.0000 0.0000
Mo 0.5000 0.5000 0.5000
Cd 0.0000 0.5000 0.0000
Cd 0.0000 0.0000 0.5000
Cd 0.5000 0.0000 0.0000
! M_tot = 3.106 μB/cell
! ΔE to the lowest computed polymorph = 0 meV per atom
! ΔE_f = 86.5 kJ/mol of atoms
! symmetry = No. 221
! total DFT energy (no corrections) = -0.188 Ry/atom



! BeCd2Mo | Alexandria | PBE | relaxed; values from VASP
&SYSTEM
  ibrav = 0, nat = 4, ntyp = 3
/
ATOMIC_SPECIES
Be 9.01 Be.upf
Mo 95.94 Mo.upf
Cd 112.41 Cd.upf
CELL_PARAMETERS angstrom
-1.3033 1.6302 1.8716
-1.3618 -3.2206 1.8569
4.8845 -0.0694 3.4617
ATOMIC_POSITIONS crystal
Be 0.5000 0.5000 0.7500
Mo 0.5000 0.5000 0.2500
Cd 0.0000 0.0000 0.9837
Cd 0.0000 0.0000 0.5163
! M_tot = 0.000 μB/cell
! ΔE_f = 58.0 kJ/mol of atoms
! symmetry = No. 47
! total DFT energy (no corrections) = -0.257 Ry/atom



! BeCdMo | Alexandria | PBE | relaxed; values from VASP
&SYSTEM
  ibrav = 0, nat = 3, ntyp = 3
/
ATOMIC_SPECIES
Be 9.01 Be.upf
Mo 95.94 Mo.upf
Cd 112.41 Cd.upf
CELL_PARAMETERS angstrom
-3.7366 1.9395 -0.8185
0.1936 -3.1378 2.9172
0.5523 1.9202 2.0288
ATOMIC_POSITIONS crystal
Be 0.0000 0.0000 0.1663
Mo 0.3333 0.6667 0.6669
Cd 0.6667 0.3333 0.1668
! M_tot = 0.000 μB/cell
! ΔE to the lowest computed polymorph = 196 meV per atom
! ΔE_f = 53.6 kJ/mol of atoms
! symmetry = No. 187
! total DFT energy (no corrections) = -0.338 Ry/atom



! BeCd3Mo | Alexandria | PBE | relaxed; values from VASP
&SYSTEM
  ibrav = 0, nat = 5, ntyp = 3
/
ATOMIC_SPECIES
Be 9.01 Be.upf
Mo 95.94 Mo.upf
Cd 112.41 Cd.upf
CELL_PARAMETERS angstrom
-1.3598 5.0521 1.5189
-0.0562 -1.5823 5.2128
5.2752 1.2855 0.4470
ATOMIC_POSITIONS crystal
Be 0.5000 0.5000 0.5000
Mo 0.0000 0.0000 0.0000
Cd 0.0000 0.5000 0.0000
Cd 0.0000 0.0000 0.5000
Cd 0.5000 0.0000 0.0000
! M_tot = 3.500 μB/cell
! ΔE to the lowest computed polymorph = 619 meV per atom
! ΔE_f = 146.2 kJ/mol of atoms
! symmetry = No. 221
! total DFT energy (no corrections) = -0.143 Ry/atom



! BeCd2Mo | Alexandria | PBE | relaxed; values from VASP
&SYSTEM
  ibrav = 0, nat = 4, ntyp = 3
/
ATOMIC_SPECIES
Be 9.01 Be.upf
Mo 95.94 Mo.upf
Cd 112.41 Cd.upf
CELL_PARAMETERS angstrom
5.1228 0.0075 0.0217
4.3423 2.7180 0.0217
1.7344 0.4994 4.7637
ATOMIC_POSITIONS crystal
Be 0.2551 0.2551 0.3283
Mo 0.5274 0.5274 0.4248
Cd 0.9720 0.9720 0.9759
Cd 0.7454 0.7454 0.7711
! M_tot = 0.000 μB/cell
! ΔE_f = 43.3 kJ/mol of atoms
! symmetry = No. 8
! total DFT energy (no corrections) = -0.268 Ry/atom



! BeCd2Mo | Alexandria | PBE | relaxed; values from VASP
&SYSTEM
  ibrav = 0, nat = 4, ntyp = 3
/
ATOMIC_SPECIES
Be 9.01 Be.upf
Mo 95.94 Mo.upf
Cd 112.41 Cd.upf
CELL_PARAMETERS angstrom
-0.7690 1.4320 -5.7916
-3.6102 -2.9334 2.2667
-1.9861 1.9316 -0.4813
ATOMIC_POSITIONS crystal
Be 0.5000 0.5000 0.0000
Mo 0.0000 0.5000 0.5000
Cd 0.0000 0.0000 0.0000
Cd 0.5000 0.0000 0.5000
! M_tot = 0.000 μB/cell
! ΔE_f = 47.8 kJ/mol of atoms
! symmetry = No. 12
! total DFT energy (no corrections) = -0.265 Ry/atom



! BeZn2CdMo | Alexandria | PBE | relaxed; values from VASP
&SYSTEM
  ibrav = 0, nat = 5, ntyp = 4
/
ATOMIC_SPECIES
Be 9.01 Be.upf
Mo 95.94 Mo.upf
Zn 65.41 Zn.upf
Cd 112.41 Cd.upf
CELL_PARAMETERS angstrom
4.7740 0.0000 0.0000
0.0000 4.3777 0.0000
0.0000 0.0000 4.7740
ATOMIC_POSITIONS crystal
Be 0.0000 0.5000 0.0000
Mo 0.5000 0.5000 0.5000
Zn 0.0000 0.0000 0.5000
Zn 0.5000 0.0000 0.0000
Cd 0.0000 0.0000 0.0000
! M_tot = 3.263 μB/cell
! ΔE_f = 132.3 kJ/mol of atoms
! symmetry = No. 123
! total DFT energy (no corrections) = -0.164 Ry/atom



! ZrBe2CdMo | Alexandria | PBE | relaxed; values from VASP
&SYSTEM
  ibrav = 0, nat = 5, ntyp = 4
/
ATOMIC_SPECIES
Be 9.01 Be.upf
Mo 95.94 Mo.upf
Zr 91.22 Zr.upf
Cd 112.41 Cd.upf
CELL_PARAMETERS angstrom
-1.5666 -3.9424 -1.1857
2.2380 0.5166 -4.6745
3.6560 -1.9155 1.5387
ATOMIC_POSITIONS crystal
Be 0.0000 0.0000 0.5000
Be 0.5000 0.0000 0.0000
Mo 0.5000 0.5000 0.5000
Zr 0.0000 0.0000 0.0000
Cd 0.0000 0.5000 0.0000
! M_tot = 0.158 μB/cell
! ΔE_f = 195.3 kJ/mol of atoms
! symmetry = No. 123
! total DFT energy (no corrections) = -0.259 Ry/atom



! Be2CdN | Alexandria | PBE | relaxed; values from VASP
&SYSTEM
  ibrav = 0, nat = 8, ntyp = 3
/
ATOMIC_SPECIES
Be 9.01 Be.upf
N 14.01 N.upf
Cd 112.41 Cd.upf
CELL_PARAMETERS angstrom
-0.6039 -3.4001 -3.9265
4.4722 -2.3507 1.3478
0.0686 -5.1371 0.9561
ATOMIC_POSITIONS crystal
Be 0.4419 0.1250 0.2500
Be 0.3081 0.6250 0.2500
Be 0.3750 0.5581 0.7500
Be 0.8750 0.6919 0.7500
N 0.5000 0.5000 0.0000
N 0.2500 0.7500 0.5000
Cd 0.0000 0.0000 0.0000
Cd 0.7500 0.2500 0.5000
! M_tot = 0.000 μB/cell
! ΔE to the lowest computed polymorph = 0 meV per atom
! symmetry = No. 122
! total DFT energy (no corrections) = -0.323 Ry/atom
! formation energy without anion corrections = -228 meV per atom



! BeCd2N | Alexandria | PBE | relaxed; values from VASP
&SYSTEM
  ibrav = 0, nat = 8, ntyp = 3
/
ATOMIC_SPECIES
Be 9.01 Be.upf
N 14.01 N.upf
Cd 112.41 Cd.upf
CELL_PARAMETERS angstrom
6.0417 0.0000 0.0000
0.0000 6.0417 0.0000
3.0209 3.0209 4.0375
ATOMIC_POSITIONS crystal
Be 0.5000 0.5000 0.0000
Be 0.2500 0.7500 0.5000
N 0.0000 0.0000 0.0000
N 0.7500 0.2500 0.5000
Cd 0.6726 0.1250 0.2500
Cd 0.0774 0.6250 0.2500
Cd 0.3750 0.3274 0.7500
Cd 0.8750 0.9226 0.7500
! M_tot = 0.000 μB/cell
! ΔE to the lowest computed polymorph = 0 meV per atom
! symmetry = No. 122
! total DFT energy (no corrections) = -0.185 Ry/atom
! formation energy without anion corrections = 950 meV per atom



! BeCdN3 | Alexandria | PBE | relaxed; values from VASP
&SYSTEM
  ibrav = 0, nat = 5, ntyp = 3
/
ATOMIC_SPECIES
Be 9.01 Be.upf
N 14.01 N.upf
Cd 112.41 Cd.upf
CELL_PARAMETERS angstrom
-1.4320 0.8284 -3.8256
2.7411 -2.6957 -1.6098
-2.7942 -3.0690 0.3814
ATOMIC_POSITIONS crystal
Be 0.5000 0.5000 0.5000
N 0.0000 0.5000 0.0000
N 0.0000 0.0000 0.5000
N 0.5000 0.0000 0.0000
Cd 0.0000 0.0000 0.0000
! M_tot = 3.492 μB/cell
! symmetry = No. 221
! total DFT energy (no corrections) = -0.234 Ry/atom
! formation energy without anion corrections = 2744 meV per atom



! BeCdN3 | Alexandria | PBE | relaxed; values from VASP
&SYSTEM
  ibrav = 0, nat = 5, ntyp = 3
/
ATOMIC_SPECIES
Be 9.01 Be.upf
N 14.01 N.upf
Cd 112.41 Cd.upf
CELL_PARAMETERS angstrom
3.6092 0.0000 0.0000
0.0000 3.6092 0.0000
0.0000 0.0000 3.6092
ATOMIC_POSITIONS crystal
Be 0.0000 0.0000 0.0000
N 0.0000 0.5000 0.0000
N 0.0000 0.0000 0.5000
N 0.5000 0.0000 0.0000
Cd 0.5000 0.5000 0.5000
! M_tot = 0.000 μB/cell
! symmetry = No. 221
! total DFT energy (no corrections) = -0.329 Ry/atom
! formation energy without anion corrections = 1453 meV per atom



! Be2CdN | Alexandria | PBE | relaxed; values from VASP
&SYSTEM
  ibrav = 0, nat = 4, ntyp = 3
/
ATOMIC_SPECIES
Be 9.01 Be.upf
N 14.01 N.upf
Cd 112.41 Cd.upf
CELL_PARAMETERS angstrom
1.3192 -3.7131 -0.9279
1.7675 -2.2871 2.8343
-1.9163 -3.2528 1.4612
ATOMIC_POSITIONS crystal
Be 0.2500 0.2500 0.2500
Be 0.7500 0.7500 0.7500
N 0.0000 0.0000 0.0000
Cd 0.5000 0.5000 0.5000
! M_tot = 0.000 μB/cell
! ΔE to the lowest computed polymorph = 1501 meV per atom
! symmetry = No. 225
! total DFT energy (no corrections) = -0.213 Ry/atom
! formation energy without anion corrections = 1273 meV per atom